[1]
DFT (PBE-GGA) results for a relaxed TcBi2Mo crystal.

Properties
Its crystal system is cubic. The calculation puts the final energy at -6.36 eV/atom.

Cell lengths 4.8966, 4.8966, 4.8966 Å; angles 60.00, 60.00, 60.00 degrees
Last column: nearest neighbours and their distance in Å.
Fractional positions:
Tc 0.0000 0.0000 0.0000  4 Bi 3.00, 4 Mo 3.00
Bi 0.5000 0.5000 0.5000  4 Bi 3.00, 4 Mo 3.00
Bi 0.7500 0.7500 0.7500  4 Tc 3.00, 4 Bi 3.00
Mo 0.2500 0.2500 0.2500  4 Bi 3.00, 4 Tc 3.00

***

[2]
DFT (PBE-GGA) results for a relaxed FeAsSe crystal.

Properties
Its crystal system is monoclinic. The calculation puts the final energy at -5.82 eV/atom.

Cell lengths 5.9440, 5.8535, 6.0048 Å; angles 90.00, 113.87, 90.00 degrees
Last column: nearest neighbours and their distance in Å.
Fractional positions:
Fe 0.2232 0.0000 0.4613  3 As 2.31-2.44, 3 Se 2.32-2.42
Fe 0.2279 0.4992 0.9591  3 As 2.30-2.44, 3 Se 2.31-2.41
Fe 0.7721 0.9992 0.0409  3 As 2.30-2.44, 3 Se 2.31-2.41
Fe 0.7768 0.5000 0.5387  3 As 2.31-2.44, 3 Se 2.32-2.42
As 0.1506 0.1449 0.0800  3 Fe 2.30-2.33, 1 Se 2.56
As 0.3535 0.6393 0.3741  3 Fe 2.38-2.44, 1 Se 2.54
As 0.6465 0.1393 0.6259  3 Fe 2.38-2.44, 1 Se 2.54
As 0.8494 0.6449 0.9200  3 Fe 2.30-2.33, 1 Se 2.56
Se 0.1572 0.3678 0.5745  3 Fe 2.31-2.34, 1 As 2.54
Se 0.3503 0.8723 0.8787  3 Fe 2.41-2.42, 1 As 2.56
Se 0.6497 0.3723 0.1213  3 Fe 2.41-2.42, 1 As 2.56
Se 0.8428 0.8678 0.4255  3 Fe 2.31-2.34, 1 As 2.54